Arrangement one

VASP calculation (GGA-PBE) on a geometry-optimized AcNi2 structure.

## Properties
- Space group: Fd-3m
- Total magnetization: 0.0 μB/cell

Unit cell a=5.3640 b=5.3640 c=5.3640 alpha=60.00 beta=60.00 gamma=60.00
Closest atoms and distances in Å follow each position.
Sites, in units of the cell vectors:
Ni  0.6250  0.6250  0.1250  6 Ni 2.68
Ni  0.1250  0.6250  0.6250  6 Ni 2.68
Ni  0.6250  0.1250  0.6250  6 Ni 2.68
Ni  0.6250  0.6250  0.6250  6 Ni 2.68
Ac  0.2500  0.2500  0.2500  12 Ni 3.14, 4 Ac 3.28
Ac  0.0000  0.0000  0.0000  12 Ni 3.14, 4 Ac 3.28

---

Arrangement two

VASP calculation (GGA-PBE) on a geometry-optimized AcNi2 structure.

## Properties
- Space group: P6/mmm
- Total magnetization: 0.1 μB/cell

Unit cell a=4.2212 b=4.1361 c=4.1362 alpha=120.00 beta=90.00 gamma=90.00
Closest atoms and distances in Å follow each position.
Sites, in units of the cell vectors:
Ni  0.0000  0.6667  0.3333  3 Ni 2.39
Ni  0.0000  0.3333  0.6667  3 Ni 2.39
Ac  0.5000  0.0000  0.0000  12 Ni 3.19

---

Arrangement three

VASP calculation (GGA-PBE) on a geometry-optimized AcNi2 structure.

## Properties
- Space group: C2/m
- Total magnetization: 0.0 μB/cell

Unit cell a=3.4924 b=3.4924 c=5.4886 alpha=109.92 beta=109.92 gamma=90.12
Closest atoms and distances in Å follow each position.
Sites, in units of the cell vectors:
Ac  0.5000  0.5000  0.0000  2 Ni 2.78
Ni  0.7874  0.7874  0.5772  4 Ni 2.54-2.61, 1 Ac 2.78
Ni  0.2126  0.2126  0.4228  4 Ni 2.54-2.61, 1 Ac 2.78

---

The winner here is arrangement two, beating the second structure by 0.118 eV/atom.